[1]
{
  "formula": "Rb2HfInF6",
  "functional": "GGA-PBE",
  "state": "optimized geometry",
  "cell": [[-3.540, 3.540, 4.779], [3.540, -3.540, 4.779], [3.540, 3.540, -4.779]],
  "species": ["Rb", "Rb", "Hf", "In", "F", "F", "F", "F", "F", "F"],
  "frac_coords": [[0.250, 0.750, 0.500], [0.750, 0.250, 0.500], [0.000, 0.000, 0.000], [0.500, 0.500, 0.000], [0.201, 0.201, 0.402], [0.201, 0.799, 0.000], [0.211, 0.211, 0.000], [0.789, 0.789, 0.000], [0.799, 0.201, 0.000], [0.799, 0.799, 0.598]],
  "magnetic_moment_mub_per_fu": 0.00,
  "e_form_raw_ev_per_atom": -2.84,
  "dos_ef_per_ev_fu": 10.73
}



[2]
{
  "formula": "Li2InBi",
  "functional": "GGA-PBE",
  "state": "optimized geometry",
  "cell": [[-2.227, 2.246, 5.551], [2.227, -2.246, 5.551], [2.227, 2.246, -5.551]],
  "species": ["Li", "Li", "In", "Bi"],
  "frac_coords": [[0.247, 0.247, 0.000], [0.753, 0.753, 0.000], [0.500, 0.500, 0.000], [0.000, 0.000, 0.000]],
  "magnetic_moment_mub_per_fu": 0.00,
  "delta_e_f_ev_per_atom": 0.05,
  "dos_ef_per_ev_fu": 2.55
}



[3]
{
  "formula": "CsSnTe2O8",
  "functional": "GGA-PBE",
  "state": "optimized geometry",
  "cell": [[5.529, 0.000, 0.000], [-2.765, 4.788, 0.000], [0.000, 0.000, 9.515]],
  "species": ["Cs", "Sn", "Te", "Te", "O", "O", "O", "O", "O", "O", "O", "O"],
  "frac_coords": [[0.000, 0.000, 0.000], [0.000, 0.000, 0.500], [0.333, 0.667, 0.694], [0.667, 0.333, 0.306], [0.032, 0.319, 0.632], [0.287, 0.968, 0.632], [0.319, 0.287, 0.368], [0.333, 0.667, 0.886], [0.667, 0.333, 0.114], [0.681, 0.713, 0.632], [0.713, 0.032, 0.368], [0.968, 0.681, 0.368]],
  "magnetic_moment_mub_per_fu": 0.00,
  "e_form_raw_ev_per_atom": -1.11,
  "dos_ef_per_ev_fu": 2.82
}



[4]
{
  "formula": "LiYMo3",
  "functional": "GGA-PBE",
  "state": "optimized geometry",
  "cell": [[4.870, 0.000, 0.000], [0.000, 4.870, 0.000], [0.000, 0.000, 4.870]],
  "species": ["Li", "Y", "Mo", "Mo", "Mo"],
  "frac_coords": [[0.000, 0.000, 0.000], [0.500, 0.500, 0.500], [0.000, 0.500, 0.500], [0.500, 0.000, 0.500], [0.500, 0.500, 0.000]],
  "magnetic_moment_mub_per_fu": 0.00,
  "delta_e_f_ev_per_atom": 2.41,
  "dos_ef_per_ev_fu": 7.02,
  "e_above_lowest_polymorph_mev_per_atom": 1195
}



[5]
{
  "formula": "Ce2ThF11",
  "functional": "GGA-PBE",
  "state": "optimized geometry",
  "cell": [[-4.218, 5.332, 5.730], [4.218, -5.332, 5.730], [4.218, 5.332, -5.730]],
  "species": ["Ce", "Ce", "Ce", "Ce", "Th", "Th", "F", "F", "F", "F", "F", "F", "F", "F", "F", "F", "F", "F", "F", "F", "F", "F", "F", "F", "F", "F", "F", "F"],
  "frac_coords": [[0.181, 0.143, 0.324], [0.319, 0.643, 0.961], [0.681, 0.357, 0.039], [0.819, 0.857, 0.676], [0.250, 0.750, 0.500], [0.750, 0.250, 0.500], [0.000, 0.000, 0.000], [0.030, 0.450, 0.765], [0.067, 0.853, 0.645], [0.185, 0.950, 0.420], [0.208, 0.422, 0.355], [0.218, 0.871, 0.090], [0.282, 0.371, 0.653], [0.292, 0.647, 0.214], [0.315, 0.735, 0.765], [0.433, 0.078, 0.786], [0.470, 0.235, 0.420], [0.500, 0.500, 0.000], [0.530, 0.765, 0.580], [0.567, 0.922, 0.214], [0.685, 0.265, 0.235], [0.708, 0.353, 0.786], [0.718, 0.629, 0.347], [0.782, 0.129, 0.910], [0.792, 0.578, 0.645], [0.815, 0.050, 0.580], [0.933, 0.147, 0.355], [0.970, 0.550, 0.235]],
  "magnetic_moment_mub_per_fu": 1.04,
  "e_form_raw_ev_per_atom": -4.00,
  "dos_ef_per_ev_fu": 5.31
}



[6]
{
  "formula": "Ac2PmTc2N6",
  "functional": "GGA-PBE",
  "state": "optimized geometry",
  "cell": [[2.949, 1.702, 6.271], [-2.949, 1.702, 6.271], [0.000, -3.405, 6.271]],
  "species": ["Ac", "Ac", "Pm", "Tc", "Tc", "N", "N", "N", "N", "N", "N"],
  "frac_coords": [[0.212, 0.212, 0.212], [0.788, 0.788, 0.788], [0.000, 0.000, 0.000], [0.403, 0.403, 0.403], [0.597, 0.597, 0.597], [0.232, 0.740, 0.740], [0.260, 0.260, 0.768], [0.260, 0.768, 0.260], [0.740, 0.232, 0.740], [0.740, 0.740, 0.232], [0.768, 0.260, 0.260]],
  "magnetic_moment_mub_per_fu": 0.00,
  "e_form_raw_ev_per_atom": -0.69,
  "dos_ef_per_ev_fu": 3.35
}



[7]
{
  "formula": "Li2TbYHg4",
  "functional": "GGA-PBE",
  "state": "optimized geometry",
  "cell": [[2.516, 1.453, 8.221], [-2.516, 1.453, 8.221], [0.000, -2.905, 8.221]],
  "species": ["Li", "Li", "Tb", "Y", "Hg", "Hg", "Hg", "Hg"],
  "frac_coords": [[0.250, 0.250, 0.250], [0.750, 0.750, 0.750], [0.500, 0.500, 0.500], [0.000, 0.000, 0.000], [0.125, 0.125, 0.125], [0.375, 0.375, 0.375], [0.625, 0.625, 0.625], [0.875, 0.875, 0.875]],
  "magnetic_moment_mub_per_fu": 0.00,
  "delta_e_f_ev_per_atom": -0.45,
  "dos_ef_per_ev_fu": 5.81
}



[8]
{
  "formula": "RbSiSb",
  "functional": "GGA-PBE",
  "state": "optimized geometry",
  "cell": [[2.062, 1.190, 6.876], [-2.062, 1.190, 6.876], [0.000, -2.381, 6.876]],
  "species": ["Rb", "Si", "Sb"],
  "frac_coords": [[0.000, 0.000, 0.000], [0.537, 0.537, 0.537], [0.809, 0.809, 0.809]],
  "magnetic_moment_mub_per_fu": 0.00,
  "e_form_raw_ev_per_atom": -0.10
}



[9]
{
  "formula": "KRb3Hg2Cl9",
  "functional": "GGA-PBE",
  "state": "optimized geometry",
  "cell": [[7.458, 0.000, 0.000], [-3.729, 6.459, 0.000], [0.000, 0.000, 10.586]],
  "species": ["K", "Rb", "Rb", "Rb", "Hg", "Hg", "Cl", "Cl", "Cl", "Cl", "Cl", "Cl", "Cl", "Cl", "Cl"],
  "frac_coords": [[0.000, 0.000, 0.000], [0.000, 0.000, 0.500], [0.333, 0.667, 0.247], [0.667, 0.333, 0.753], [0.333, 0.667, 0.662], [0.667, 0.333, 0.338], [0.000, 0.500, 0.500], [0.162, 0.323, 0.784], [0.162, 0.838, 0.784], [0.323, 0.162, 0.216], [0.500, 0.000, 0.500], [0.500, 0.500, 0.500], [0.677, 0.838, 0.784], [0.838, 0.162, 0.216], [0.838, 0.677, 0.216]],
  "magnetic_moment_mub_per_fu": 0.00,
  "e_form_raw_ev_per_atom": -1.23,
  "dos_ef_per_ev_fu": 7.04
}



[10]
{
  "formula": "La2Te2Se",
  "functional": "GGA-PBE",
  "state": "optimized geometry",
  "cell": [[8.402, 0.000, 0.000], [0.000, 8.402, 0.000], [0.000, 0.000, 4.468]],
  "species": ["La", "La", "La", "La", "Te", "Te", "Te", "Te", "Se", "Se"],
  "frac_coords": [[0.170, 0.330, 0.000], [0.330, 0.830, 0.000], [0.670, 0.170, 0.000], [0.830, 0.670, 0.000], [0.141, 0.641, 0.500], [0.359, 0.141, 0.500], [0.641, 0.859, 0.500], [0.859, 0.359, 0.500], [0.000, 0.000, 0.000], [0.500, 0.500, 0.000]],
  "magnetic_moment_mub_per_fu": 0.00,
  "e_form_raw_ev_per_atom": -1.63,
  "dos_ef_per_ev_fu": 0.48,
  "e_above_lowest_polymorph_mev_per_atom": 112
}



[11]
{
  "formula": "AlReAg2",
  "functional": "GGA-PBE",
  "state": "optimized geometry",
  "cell": [[-1.389, 2.353, 4.946], [1.389, -2.353, 4.946], [1.389, 2.353, -4.946]],
  "species": ["Al", "Re", "Ag", "Ag"],
  "frac_coords": [[0.000, 0.000, 0.000], [0.500, 0.500, 0.000], [0.238, 0.738, 0.500], [0.762, 0.262, 0.500]],
  "magnetic_moment_mub_per_fu": 0.00,
  "delta_e_f_ev_per_atom": 0.30,
  "dos_ef_per_ev_fu": 2.38
}



[12]
{
  "formula": "AcBi4Br",
  "functional": "GGA-PBE",
  "state": "optimized geometry",
  "cell": [[0.000, 4.669, 4.669], [4.669, 0.000, 4.669], [4.669, 4.669, 0.000]],
  "species": ["Ac", "Bi", "Bi", "Bi", "Bi", "Br"],
  "frac_coords": [[0.000, 0.000, 0.000], [0.127, 0.624, 0.624], [0.624, 0.127, 0.624], [0.624, 0.624, 0.127], [0.624, 0.624, 0.624], [0.250, 0.250, 0.250]],
  "magnetic_moment_mub_per_fu": 0.00,
  "e_form_raw_ev_per_atom": -0.36,
  "dos_ef_per_ev_fu": 5.65
}